Entry 1:
Entry from Alexandria: a relaxed structure of DyInO3 (PBE).

abc: 5.7007 5.7007 5.9813
angles: 61.54 61.54 60.00
Atoms (fractional coordinates):
O: 0.5497 0.9590 0.2526
In: 0.8546 0.8546 0.4361
In: 0.1454 0.1454 0.5639
O: 0.9590 0.2387 0.2526
O: 0.0410 0.7613 0.7474
O: 0.7613 0.4504 0.7474
Dy: 0.3606 0.3606 0.9182
Dy: 0.6394 0.6394 0.0818
O: 0.2387 0.5496 0.2526
O: 0.4503 0.0410 0.7474

## Properties
Formation energy from raw total energies   -2529.6 meV per atom



Entry 2:
Entry from Alexandria: a relaxed structure of SrLiThN2 (PBE).

abc: 3.9249 3.9249 6.6447
angles: 90.00 90.00 120.00
Each line ends with the local moment (μB).
Atoms (fractional coordinates):
N: 0.6667 0.3333 0.7484  0.01
Sr: 0.0000 0.0000 0.0557  0.04
Li: 0.6667 0.3333 0.3180  0.02
N: 0.3333 0.6667 0.2666  -0.01
Th: 0.3333 0.6667 0.6114  0.25

## Properties
Formation energy from raw total energies   -783.8 meV per atom



Entry 3:
Entry from Alexandria: a relaxed structure of Sc2CrCu (PBE).

abc: 3.9915 3.9915 9.4347
angles: 77.79 77.79 90.00
Atoms (fractional coordinates):
Cu: 0.0000 0.0000 0.0000
Sc: 0.6207 0.1250 0.2500
Sc: 0.3750 0.3793 0.7500
Cr: 0.2500 0.7500 0.5000
Cr: 0.5000 0.5000 0.0000
Cu: 0.7500 0.2500 0.5000
Sc: 0.8750 0.8707 0.7500
Sc: 0.1293 0.6250 0.2500

## Properties
ΔE_f   2.948 eV/f.u.